Record 1
# Bi6IrPd3

A geometry-optimized Bi6IrPd3 structure (GGA-PBE, Alexandria).

CIF file:
```
data_Bi6IrPd3
_symmetry_space_group_name_H-M 'P 1'
_symmetry_Int_Tables_number 1
_cell_length_a 7.518
_cell_length_b 6.692
_cell_length_c 12.257
_cell_angle_alpha 90.00
_cell_angle_beta 127.15
_cell_angle_gamma 90.00
loop_
_symmetry_equiv_pos_as_xyz
'x,y,z'
loop_
_atom_site_label
_atom_site_type_symbol
_atom_site_fract_x
_atom_site_fract_y
_atom_site_fract_z
Bi1 Bi 0.071 0.030 0.255
Bi2 Bi 0.071 0.470 0.755
Bi3 Bi 0.256 0.141 0.588
Bi4 Bi 0.256 0.359 0.088
Bi5 Bi 0.413 0.650 0.581
Bi6 Bi 0.413 0.850 0.081
Bi7 Bi 0.587 0.150 0.919
Bi8 Bi 0.587 0.350 0.419
Bi9 Bi 0.744 0.641 0.912
Bi10 Bi 0.744 0.859 0.412
Bi11 Bi 0.929 0.530 0.245
Bi12 Bi 0.929 0.970 0.745
Ir1 Ir 0.500 0.000 0.500
Ir2 Ir 0.500 0.500 0.000
Pd1 Pd 0.000 0.000 0.000
Pd2 Pd 0.000 0.500 0.500
Pd3 Pd 0.297 0.684 0.257
Pd4 Pd 0.297 0.816 0.757
Pd5 Pd 0.703 0.184 0.243
Pd6 Pd 0.703 0.316 0.743
```

Results
energy relative to the elements = -3.128 kcal/mol of atoms



Record 2
# Nd2YEr3Sb6

A geometry-optimized Nd2YEr3Sb6 structure (GGA-PBE, Alexandria).

CIF file:
```
data_Nd2YEr3Sb6
_symmetry_space_group_name_H-M 'P 1'
_symmetry_Int_Tables_number 1
_cell_length_a 9.875
_cell_length_b 9.875
_cell_length_c 8.833
_cell_angle_alpha 102.84
_cell_angle_beta 102.84
_cell_angle_gamma 25.87
loop_
_symmetry_equiv_pos_as_xyz
'x,y,z'
loop_
_atom_site_label
_atom_site_type_symbol
_atom_site_fract_x
_atom_site_fract_y
_atom_site_fract_z
Nd1 Nd 0.166 0.166 0.332
Nd2 Nd 0.834 0.834 0.668
Y1 Y 0.500 0.500 0.000
Er1 Er 0.168 0.168 0.834
Er2 Er 0.500 0.500 0.500
Er3 Er 0.832 0.832 0.166
Sb1 Sb 0.003 0.003 0.750
Sb2 Sb 0.333 0.333 0.925
Sb3 Sb 0.336 0.336 0.410
Sb4 Sb 0.664 0.664 0.590
Sb5 Sb 0.667 0.667 0.075
Sb6 Sb 0.997 0.997 0.250
```

Results
raw formation energy = -1133 meV/atom



Record 3
# PrUTl2S4

A geometry-optimized PrUTl2S4 structure (GGA-PBE, Alexandria).

CIF file:
```
data_PrUTl2S4
_symmetry_space_group_name_H-M 'P 1'
_symmetry_Int_Tables_number 1
_cell_length_a 7.149
_cell_length_b 4.128
_cell_length_c 7.912
_cell_angle_alpha 90.00
_cell_angle_beta 107.46
_cell_angle_gamma 90.00
loop_
_symmetry_equiv_pos_as_xyz
'x,y,z'
loop_
_atom_site_label
_atom_site_type_symbol
_atom_site_fract_x
_atom_site_fract_y
_atom_site_fract_z
Pr1 Pr 0.000 0.000 0.000
U1 U 0.500 0.500 0.000
Tl1 Tl 0.000 0.500 0.500
Tl2 Tl 0.500 0.000 0.500
S1 S 0.245 0.500 0.203
S2 S 0.280 0.000 0.802
S3 S 0.720 0.000 0.198
S4 S 0.755 0.500 0.797
```

Results
raw formation energy = -1213 meV/atom



Record 4
# Ce2HoTlCo

A geometry-optimized Ce2HoTlCo structure (GGA-PBE, Alexandria).

CIF file:
```
data_Ce2HoTlCo
_symmetry_space_group_name_H-M 'P 1'
_symmetry_Int_Tables_number 1
_cell_length_a 4.943
_cell_length_b 4.943
_cell_length_c 5.472
_cell_angle_alpha 90.00
_cell_angle_beta 90.00
_cell_angle_gamma 90.00
loop_
_symmetry_equiv_pos_as_xyz
'x,y,z'
loop_
_atom_site_label
_atom_site_type_symbol
_atom_site_fract_x
_atom_site_fract_y
_atom_site_fract_z
Ce1 Ce 0.000 0.500 0.000
Ce2 Ce 0.500 0.000 0.000
Ho1 Ho 0.000 0.000 0.500
Tl1 Tl 0.500 0.500 0.500
Co1 Co 0.000 0.000 0.000
```

Results
energy relative to the elements = -5.542 kcal/mol of atoms



Looking at total DFT energy (no corrections) for the records above, in order, we have -4.908, -5.668, -5.877, -5.424 eV/atom.